VASP calculation (GGA+U) on BaEuYWO6 after structural relaxation.

Results
Final energy: -83.907 eV per formula unit
V: 14.970 Å³ per atom
Space group: P-1, No. 2
Size of the total moment: 16.00 μB/cell

Lattice parameters (Å, degrees): 5.9354 5.9618 8.4610 90.34 90.06 89.80
With the nearest neighbours (Å) after each atom.
Element x y z (fractional)
O1 0.2377 0.7966 0.4784  1 W 1.98
O2 0.9221 0.5096 0.2379  1 W 2.07, 1 Y 2.27
W1 0.5000 0.0000 0.5000  6 O 1.98-2.06
Eu1 0.5014 0.4669 0.7475  4 O 2.52-2.64
W2 0.0000 0.5000 0.0000  6 O 1.99-2.07
O3 0.6955 0.7215 0.5455  1 W 2.06, 1 Y 2.27
Ba1 0.9968 0.9811 0.7511  8 O 2.72-2.97
O4 0.7623 0.2034 0.5216  1 W 1.98
O5 0.0779 0.4904 0.7621  1 W 2.07, 1 Y 2.27
O6 0.7867 0.2368 0.9748  1 W 2.03, 1 Y 2.23
O7 0.2633 0.3012 0.0428  1 W 1.99
O8 0.2133 0.7632 0.0252  1 W 2.03, 1 Y 2.23
O9 0.4501 0.0430 0.7374  1 W 2.05, 1 Y 2.26
Y1 0.5000 0.0000 0.0000  6 O 2.23-2.30
O10 0.5499 0.9570 0.2626  1 W 2.05, 1 Y 2.26
Y2 0.0000 0.5000 0.5000  6 O 2.27
O11 0.7367 0.6988 0.9572  1 W 1.99
Ba2 0.0032 0.0189 0.2489  8 O 2.72-2.97
Eu2 0.4986 0.5331 0.2525  4 O 2.52-2.64
O12 0.3045 0.2785 0.4545  1 W 2.06, 1 Y 2.27